1.
# BaTl2O GGA-PBEsol relaxed
data_BaTl2O
_symmetry_space_group_name_H-M 'P 1'
_symmetry_Int_Tables_number 1
_symmetry_space_group_name_Hall 'P 1'
_cell_length_a 5.270
_cell_length_b 5.270
_cell_length_c 5.270
_cell_angle_alpha 60.00
_cell_angle_beta 60.00
_cell_angle_gamma 60.00
loop_
_atom_site_label
_atom_site_type_symbol
_atom_site_fract_x
_atom_site_fract_y
_atom_site_fract_z
_atom_site_occupancy
O1 O 0.000 0.000 0.000 1
Tl1 Tl 0.750 0.750 0.750 1
Tl2 Tl 0.250 0.250 0.250 1
Ba1 Ba 0.500 0.500 0.500 1
# Electronic total energy   -3.20 eV per atom

2.
# Tm2Fe17 GGA-PBEsol relaxed
data_Tm2Fe17
_symmetry_space_group_name_H-M 'P 1'
_symmetry_Int_Tables_number 1
_symmetry_space_group_name_Hall 'P 1'
_cell_length_a 8.031
_cell_length_b 8.132
_cell_length_c 8.132
_cell_angle_alpha 120.00
_cell_angle_beta 90.00
_cell_angle_gamma 90.00
loop_
_atom_site_label
_atom_site_type_symbol
_atom_site_fract_x
_atom_site_fract_y
_atom_site_fract_z
_atom_site_occupancy
Fe1 Fe 0.012 0.835 0.165 1
Fe2 Fe 0.250 0.038 0.671 1
Fe3 Fe 0.488 0.835 0.165 1
Fe4 Fe 0.512 0.165 0.330 1
Fe5 Fe 0.500 0.500 0.500 1
Fe6 Fe 0.250 0.329 0.367 1
Fe7 Fe 0.500 0.500 0.000 1
Fe8 Fe 0.000 0.500 0.000 1
Fe9 Fe 0.750 0.367 0.038 1
Fe10 Fe 0.500 0.000 0.500 1
Fe11 Fe 0.392 0.333 0.667 1
Fe12 Fe 0.012 0.330 0.165 1
Fe13 Fe 0.250 0.038 0.367 1
Fe14 Fe 0.250 0.329 0.962 1
Fe15 Fe 0.988 0.165 0.835 1
Fe16 Fe 0.488 0.330 0.165 1
Fe17 Fe 0.000 0.000 0.500 1
Fe18 Fe 0.988 0.165 0.330 1
Fe19 Fe 0.512 0.165 0.835 1
Fe20 Fe 0.608 0.667 0.333 1
Fe21 Fe 0.750 0.671 0.038 1
Fe22 Fe 0.750 0.962 0.633 1
Fe23 Fe 0.000 0.500 0.500 1
Fe24 Fe 0.892 0.667 0.333 1
Fe25 Fe 0.108 0.333 0.667 1
Fe26 Fe 0.512 0.670 0.835 1
Fe27 Fe 0.250 0.633 0.962 1
Fe28 Fe 0.250 0.633 0.671 1
Fe29 Fe 0.750 0.962 0.329 1
Fe30 Fe 0.488 0.835 0.670 1
Fe31 Fe 0.750 0.367 0.329 1
Fe32 Fe 0.012 0.835 0.670 1
Fe33 Fe 0.988 0.670 0.835 1
Fe34 Fe 0.750 0.671 0.633 1
Tm1 Tm 0.250 0.667 0.333 1
Tm2 Tm 0.250 0.000 0.000 1
Tm3 Tm 0.750 0.333 0.667 1
Tm4 Tm 0.750 0.000 0.000 1
# Electronic total energy   -8.54 eV per atom

3.
# Tl2TeO6 GGA-PBEsol relaxed
data_Tl2TeO6
_symmetry_space_group_name_H-M 'P 1'
_symmetry_Int_Tables_number 1
_symmetry_space_group_name_Hall 'P 1'
_cell_length_a 5.016
_cell_length_b 9.157
_cell_length_c 9.157
_cell_angle_alpha 120.00
_cell_angle_beta 90.00
_cell_angle_gamma 90.00
loop_
_atom_site_label
_atom_site_type_symbol
_atom_site_fract_x
_atom_site_fract_y
_atom_site_fract_z
_atom_site_occupancy
O1 O 0.218 0.878 0.078 1
O2 O 0.708 0.778 0.535 1
O3 O 0.265 0.598 0.464 1
O4 O 0.782 0.078 0.878 1
O5 O 0.782 0.122 0.201 1
O6 O 0.708 0.465 0.243 1
O7 O 0.782 0.799 0.922 1
O8 O 0.292 0.243 0.465 1
O9 O 0.735 0.134 0.536 1
O10 O 0.735 0.402 0.866 1
O11 O 0.218 0.922 0.799 1
O12 O 0.265 0.536 0.134 1
O13 O 0.292 0.535 0.778 1
O14 O 0.265 0.866 0.402 1
O15 O 0.735 0.464 0.598 1
O16 O 0.292 0.222 0.757 1
O17 O 0.218 0.201 0.122 1
O18 O 0.708 0.757 0.222 1
Tl1 Tl 0.500 0.000 0.287 1
Tl2 Tl 0.000 0.376 0.376 1
Tl3 Tl 0.500 0.713 0.713 1
Tl4 Tl 0.000 0.000 0.624 1
Tl5 Tl 0.500 0.287 0.000 1
Tl6 Tl 0.000 0.624 0.000 1
Te1 Te 0.487 0.667 0.333 1
Te2 Te 0.000 0.000 0.000 1
Te3 Te 0.513 0.333 0.667 1
# Electronic total energy   -5.33 eV per atom

4.
# SiPtPb2 GGA-PBEsol relaxed
data_SiPtPb2
_symmetry_space_group_name_H-M 'P 1'
_symmetry_Int_Tables_number 1
_symmetry_space_group_name_Hall 'P 1'
_cell_length_a 4.622
_cell_length_b 5.151
_cell_length_c 4.622
_cell_angle_alpha 116.66
_cell_angle_beta 90.00
_cell_angle_gamma 116.66
loop_
_atom_site_label
_atom_site_type_symbol
_atom_site_fract_x
_atom_site_fract_y
_atom_site_fract_z
_atom_site_occupancy
Pb1 Pb 0.250 0.500 0.750 1
Pb2 Pb 0.750 0.500 0.250 1
Si1 Si 0.000 0.000 0.000 1
Pt1 Pt 0.500 0.000 0.500 1
# Electronic total energy   -4.90 eV per atom

5.
# Mg30TiVO32 GGA-PBEsol relaxed
data_Mg30TiVO32
_symmetry_space_group_name_H-M 'P 1'
_symmetry_Int_Tables_number 1
_symmetry_space_group_name_Hall 'P 1'
_cell_length_a 8.442
_cell_length_b 8.461
_cell_length_c 8.461
_cell_angle_alpha 90.00
_cell_angle_beta 90.00
_cell_angle_gamma 90.00
loop_
_atom_site_label
_atom_site_type_symbol
_atom_site_fract_x
_atom_site_fract_y
_atom_site_fract_z
_atom_site_occupancy
O1 O 0.249 0.000 0.500 1
O2 O 0.500 0.000 0.743 1
O3 O 0.000 0.000 0.748 1
O4 O 0.250 0.250 0.750 1
O5 O 0.750 0.250 0.750 1
O6 O 0.750 0.750 0.750 1
O7 O 0.000 0.000 0.252 1
O8 O 0.500 0.743 0.000 1
O9 O 0.250 0.500 0.500 1
O10 O 0.249 0.500 0.000 1
O11 O 0.750 0.250 0.250 1
O12 O 0.751 0.000 0.500 1
O13 O 0.000 0.500 0.250 1
O14 O 0.500 0.000 0.257 1
O15 O 0.250 0.750 0.750 1
O16 O 0.000 0.500 0.750 1
O17 O 0.750 0.500 0.500 1
O18 O 0.500 0.500 0.749 1
O19 O 0.500 0.251 0.500 1
O20 O 0.751 0.000 0.000 1
O21 O 0.000 0.750 0.500 1
O22 O 0.750 0.750 0.250 1
O23 O 0.250 0.250 0.250 1
O24 O 0.000 0.748 0.000 1
O25 O 0.000 0.250 0.500 1
O26 O 0.000 0.252 0.000 1
O27 O 0.751 0.500 0.000 1
O28 O 0.500 0.500 0.251 1
O29 O 0.500 0.257 0.000 1
O30 O 0.500 0.749 0.500 1
O31 O 0.249 0.000 0.000 1
O32 O 0.250 0.750 0.250 1
Mg1 Mg 0.750 0.000 0.749 1
Mg2 Mg 0.750 0.250 0.500 1
Mg3 Mg 0.250 0.500 0.750 1
Mg4 Mg 0.250 0.749 0.000 1
Mg5 Mg 0.000 0.500 0.500 1
Mg6 Mg 0.750 0.750 0.500 1
Mg7 Mg 0.250 0.251 0.000 1
Mg8 Mg 0.000 0.000 0.500 1
Mg9 Mg 0.000 0.250 0.250 1
Mg10 Mg 0.750 0.000 0.251 1
Mg11 Mg 0.500 0.750 0.250 1
Mg12 Mg 0.500 0.250 0.250 1
Mg13 Mg 0.500 0.750 0.750 1
Mg14 Mg 0.000 0.250 0.750 1
Mg15 Mg 0.500 0.000 0.500 1
Mg16 Mg 0.250 0.500 0.250 1
Mg17 Mg 0.250 0.250 0.500 1
Mg18 Mg 0.750 0.749 0.000 1
Mg19 Mg 0.750 0.251 0.000 1
Mg20 Mg 0.250 0.000 0.251 1
Mg21 Mg 0.750 0.500 0.250 1
Mg22 Mg 0.000 0.500 0.000 1
Mg23 Mg 0.000 0.750 0.750 1
Mg24 Mg 0.500 0.500 0.000 1
Mg25 Mg 0.750 0.500 0.750 1
Mg26 Mg 0.250 0.000 0.749 1
Mg27 Mg 0.500 0.500 0.500 1
Mg28 Mg 0.000 0.750 0.250 1
Mg29 Mg 0.500 0.250 0.750 1
Mg30 Mg 0.250 0.750 0.500 1
Ti1 Ti 0.500 0.000 0.000 1
V1 V 0.000 0.000 0.000 1
# Electronic total energy   -6.38 eV per atom

6.
# CdTcRu2 GGA-PBEsol relaxed
data_CdTcRu2
_symmetry_space_group_name_H-M 'P 1'
_symmetry_Int_Tables_number 1
_symmetry_space_group_name_Hall 'P 1'
_cell_length_a 2.721
_cell_length_b 2.721
_cell_length_c 7.986
_cell_angle_alpha 90.00
_cell_angle_beta 90.00
_cell_angle_gamma 90.00
loop_
_atom_site_label
_atom_site_type_symbol
_atom_site_fract_x
_atom_site_fract_y
_atom_site_fract_z
_atom_site_occupancy
Cd1 Cd 0.500 0.500 0.755 1
Ru1 Ru 0.000 0.000 0.023 1
Ru2 Ru 0.500 0.500 0.246 1
Tc1 Tc 0.000 0.000 0.477 1
# Electronic total energy   -7.91 eV per atom

7.
# K2AsPt GGA-PBEsol relaxed
data_K2AsPt
_symmetry_space_group_name_H-M 'P 1'
_symmetry_Int_Tables_number 1
_symmetry_space_group_name_Hall 'P 1'
_cell_length_a 4.125
_cell_length_b 4.125
_cell_length_c 5.095
_cell_angle_alpha 90.00
_cell_angle_beta 90.00
_cell_angle_gamma 90.00
loop_
_atom_site_label
_atom_site_type_symbol
_atom_site_fract_x
_atom_site_fract_y
_atom_site_fract_z
_atom_site_occupancy
As1 As 0.000 0.000 0.500 1
K1 K 0.500 0.000 0.000 1
K2 K 0.000 0.500 0.000 1
Pt1 Pt 0.500 0.500 0.500 1
# Electronic total energy   -3.51 eV per atom

8.
# La2Ni GGA-PBEsol relaxed
data_La2Ni
_symmetry_space_group_name_H-M 'P 1'
_symmetry_Int_Tables_number 1
_symmetry_space_group_name_Hall 'P 1'
_cell_length_a 9.555
_cell_length_b 9.555
_cell_length_c 9.555
_cell_angle_alpha 60.00
_cell_angle_beta 60.00
_cell_angle_gamma 60.00
loop_
_atom_site_label
_atom_site_type_symbol
_atom_site_fract_x
_atom_site_fract_y
_atom_site_fract_z
_atom_site_occupancy
Ni1 Ni 0.356 0.933 0.356 1
Ni2 Ni 0.894 0.894 0.317 1
Ni3 Ni 0.356 0.356 0.356 1
Ni4 Ni 0.894 0.317 0.894 1
Ni5 Ni 0.894 0.894 0.894 1
Ni6 Ni 0.317 0.894 0.894 1
Ni7 Ni 0.933 0.356 0.356 1
Ni8 Ni 0.356 0.356 0.933 1
La1 La 0.125 0.625 0.125 1
La2 La 0.940 0.560 0.940 1
La3 La 0.310 0.690 0.310 1
La4 La 0.625 0.125 0.125 1
La5 La 0.125 0.125 0.625 1
La6 La 0.560 0.940 0.940 1
La7 La 0.310 0.310 0.690 1
La8 La 0.940 0.940 0.560 1
La9 La 0.690 0.310 0.690 1
La10 La 0.125 0.125 0.125 1
La11 La 0.560 0.940 0.560 1
La12 La 0.310 0.690 0.690 1
La13 La 0.690 0.690 0.310 1
La14 La 0.940 0.560 0.560 1
La15 La 0.560 0.560 0.940 1
La16 La 0.690 0.310 0.310 1
# Electronic total energy   -5.73 eV per atom

9.
# TlRh3I GGA-PBEsol relaxed
data_TlRh3I
_symmetry_space_group_name_H-M 'P 1'
_symmetry_Int_Tables_number 1
_symmetry_space_group_name_Hall 'P 1'
_cell_length_a 4.801
_cell_length_b 4.801
_cell_length_c 4.801
_cell_angle_alpha 90.00
_cell_angle_beta 90.00
_cell_angle_gamma 90.00
loop_
_atom_site_label
_atom_site_type_symbol
_atom_site_fract_x
_atom_site_fract_y
_atom_site_fract_z
_atom_site_occupancy
I1 I 0.000 0.000 0.000 1
Rh1 Rh 0.500 0.000 0.000 1
Rh2 Rh 0.000 0.500 0.000 1
Rh3 Rh 0.000 0.000 0.500 1
Tl1 Tl 0.500 0.500 0.500 1
# Electronic total energy   -4.68 eV per atom

10.
# La3NbBr GGA-PBEsol relaxed
data_La3NbBr
_symmetry_space_group_name_H-M 'P 1'
_symmetry_Int_Tables_number 1
_symmetry_space_group_name_Hall 'P 1'
_cell_length_a 5.568
_cell_length_b 5.568
_cell_length_c 5.568
_cell_angle_alpha 90.00
_cell_angle_beta 90.00
_cell_angle_gamma 90.00
loop_
_atom_site_label
_atom_site_type_symbol
_atom_site_fract_x
_atom_site_fract_y
_atom_site_fract_z
_atom_site_occupancy
La1 La 0.500 0.000 0.000 1
La2 La 0.000 0.500 0.000 1
La3 La 0.000 0.000 0.500 1
Br1 Br 0.500 0.500 0.500 1
Nb1 Nb 0.000 0.000 0.000 1
# Electronic total energy   -5.63 eV per atom